A relaxed structure of Cs3Cr5Se12. Source: the Alexandria database, functional GGA-PBE.

a = 14.371 Å, b = 14.371 Å, c = 14.371 Å
α = 109.47°, β = 109.47°, γ = 109.47°
Site moments in Bohr magnetons follow the coordinates.
Atoms (fractional coordinates):
Cr: 0.125 0.375 0.250  1.52
Se: 0.688 0.596 0.194  -0.17
Cs: 0.250 0.625 0.875  -0.01
Se: 0.599 0.592 0.404  -0.17
Cr: 0.375 0.125 0.750  1.52
Se: 0.404 0.092 0.599  -0.17
Cr: 0.375 0.250 0.125  1.52
Se: 0.596 0.908 0.401  -0.17
Cs: 0.375 0.625 0.250  -0.01
Cr: 0.000 0.000 0.500  3.19
Se: 0.688 0.092 0.994  -0.17
Cr: 0.000 0.000 0.000  3.19
Se: 0.401 0.994 0.306  -0.17
Se: 0.188 0.494 0.592  -0.17
Cr: 0.000 0.500 0.000  3.19
Se: 0.188 0.694 0.096  -0.17
Cr: 0.000 0.500 0.500  3.19
Cs: 0.625 0.250 0.375  -0.01
Se: 0.306 0.812 0.404  -0.17
Se: 0.312 0.404 0.806  -0.17
Cs: 0.125 0.250 0.875  -0.01
Cs: 0.250 0.125 0.375  -0.01
Se: 0.901 0.806 0.494  -0.17
Cr: 0.625 0.750 0.875  1.52
Cr: 0.875 0.250 0.625  1.52
Se: 0.404 0.312 0.306  -0.17
Se: 0.096 0.901 0.408  -0.17
Se: 0.006 0.599 0.194  -0.17
Cs: 0.625 0.375 0.750  -0.01
Se: 0.096 0.194 0.188  -0.17
Se: 0.812 0.506 0.408  -0.17
Cr: 0.500 0.000 0.000  3.19
Se: 0.401 0.408 0.596  -0.17
Se: 0.506 0.694 0.099  -0.17
Cr: 0.875 0.625 0.750  1.52
Se: 0.194 0.096 0.688  -0.17
Se: 0.312 0.908 0.006  -0.17
Se: 0.994 0.592 0.688  -0.17
Cr: 0.500 0.000 0.500  3.19
Se: 0.806 0.901 0.994  -0.17
Cs: 0.750 0.875 0.625  -0.01
Se: 0.194 0.099 0.006  -0.17
Cr: 0.125 0.750 0.375  1.52
Se: 0.306 0.494 0.401  -0.17
Se: 0.006 0.408 0.312  -0.17
Se: 0.099 0.904 0.092  -0.17
Se: 0.901 0.096 0.908  -0.17
Se: 0.904 0.099 0.592  -0.17
Cr: 0.250 0.875 0.125  1.52
Cr: 0.250 0.375 0.625  1.52
Se: 0.506 0.812 0.908  -0.17
Cs: 0.750 0.375 0.125  -0.01
Se: 0.494 0.306 0.901  -0.17
Se: 0.994 0.401 0.806  -0.17
Se: 0.908 0.596 0.901  -0.17
Cr: 0.500 0.500 0.000  3.19
Cs: 0.125 0.875 0.750  -0.01
Se: 0.904 0.806 0.812  -0.17
Se: 0.806 0.904 0.312  -0.17
Se: 0.592 0.599 0.904  -0.17
Se: 0.092 0.688 0.494  -0.17
Se: 0.092 0.404 0.099  -0.17
Se: 0.592 0.994 0.188  -0.17
Se: 0.596 0.688 0.694  -0.17
Se: 0.408 0.006 0.812  -0.17
Se: 0.408 0.401 0.096  -0.17
Cr: 0.750 0.125 0.875  1.52
Se: 0.694 0.506 0.599  -0.17
Se: 0.494 0.188 0.092  -0.17
Cr: 0.750 0.625 0.375  1.52
Se: 0.599 0.006 0.694  -0.17
Se: 0.099 0.194 0.506  -0.17
Cr: 0.500 0.500 0.500  3.19
Cr: 0.625 0.875 0.250  1.52
Se: 0.908 0.312 0.506  -0.17
Cs: 0.875 0.125 0.250  -0.01
Cs: 0.375 0.750 0.625  -0.01
Se: 0.812 0.306 0.904  -0.17
Cs: 0.875 0.750 0.125  -0.01
Se: 0.694 0.188 0.596  -0.17

Summary:
Space-group type ... Ia-3d
Total magnetization ... 36.00 μB/cell
VASP energy ... -5.069 eV/atom
Crystal system ... cubic